one) This record from Alexandria via LeMat-Bulk describes crystalline CoTe4 at its relaxed geometry. The functional is PBE.

POSCAR file:
```
CoTe4
1.0
-3.234 3.234 3.234
3.234 -3.234 3.234
3.234 3.234 -3.234
Co Te
1 4
Direct
0.000 0.000 0.000 Co
0.000 0.000 0.500 Te
0.000 0.500 0.000 Te
0.500 0.000 0.000 Te
0.500 0.500 0.500 Te
```

***

two) This record from Alexandria via LeMat-Bulk describes crystalline CoTe4 at its relaxed geometry. The functional is PBE.

POSCAR file:
```
CoTe4
1.0
-2.027 2.027 9.959
2.027 -2.027 9.959
2.027 2.027 -9.959
Co Te
1 4
Direct
0.000 0.000 0.000 Co
0.250 0.750 0.500 Te
0.431 0.431 0.000 Te
0.569 0.569 0.000 Te
0.750 0.250 0.500 Te
```

***

Question: which arrangement is favored energetically? Ranking from most to least stable: one), two).

***

one) This record from Alexandria via LeMat-Bulk describes crystalline Co2Te at its relaxed geometry. The functional is PBE.

POSCAR file:
```
Co2Te
1.0
4.270 0.000 0.000
-2.135 3.698 0.000
0.000 0.000 5.369
Co Te
4 2
Direct
0.000 0.000 0.000 Co
0.000 0.000 0.500 Co
0.333 0.667 0.250 Co
0.667 0.333 0.750 Co
0.333 0.667 0.750 Te
0.667 0.333 0.250 Te
```

***

two) This record from Alexandria via LeMat-Bulk describes crystalline Co2Te at its relaxed geometry. The functional is PBE.

POSCAR file:
```
Co2Te
1.0
1.848 -7.968 0.000
1.848 7.968 0.000
0.000 0.000 3.687
Co Te
4 2
Direct
0.151 0.849 0.750 Co
0.250 0.750 0.250 Co
0.750 0.250 0.750 Co
0.849 0.151 0.250 Co
0.384 0.616 0.750 Te
0.616 0.384 0.250 Te
```

***

Question: which arrangement is favored energetically? Ranking from most to least stable: two), one).